Computed, not measured: an optimized crystal structure of TbSmGd4 at the PBE level of DFT.

The structure in POSCAR format:
```
TbSmGd4
1.0
0.000 4.669 4.669
4.669 0.000 4.669
4.669 4.669 0.000
Tb Sm Gd
1 1 4
direct
0.000 0.000 0.000
0.250 0.250 0.250
0.124 0.625 0.625
0.625 0.124 0.625
0.625 0.625 0.124
0.625 0.625 0.625
```

## Properties
- ΔE_f: 0.259 eV per atom
- Calculated total energy: -64.12 eV per formula unit
- DOS at the Fermi energy: 2.1097 states/eV per atom
- ρ: 7.66 g/cm³